Tb5Sc12Bi3: optimized geometry, PBE-GGA.

Calculated values
ΔE_f = 757 meV per atom

Cell lengths 17.678, 17.678, 17.678 Å; angles 90.00, 90.00, 90.00 degrees
Space group Ia-3d (No. 230)
Unique sites:
Tb 0.000 0.000 0.000 [16 per cell]
Tb 0.000 0.250 0.375 [24 per cell]
Sc 0.000 0.083 0.147 [96 per cell]
Bi 0.000 0.250 0.125 [24 per cell]

Tb2ScBi2: optimized geometry, PBE-GGA.

Calculated values
ΔE_f = -551 meV per atom

Cell lengths 8.176, 12.205, 6.292 Å; angles 90.00, 90.00, 90.00 degrees
Space group Ibam (No. 72)
Unique sites:
Tb 0.155 0.136 0.000 [8 per cell]
Sc 0.000 0.500 0.250 [4 per cell]
Bi 0.232 0.119 0.500 [8 per cell]

TbSc5Bi4: optimized geometry, PBE-GGA.

Calculated values
ΔE_f = -326 meV per atom

Cell lengths 9.977, 10.189, 5.737 Å; angles 90.00, 90.00, 90.00 degrees
Space group Cmmm (No. 65)
Unique sites:
Tb 0.000 0.000 0.000 [2 per cell]
Sc 0.000 0.500 0.500 [2 per cell]
Sc 0.250 0.250 0.250 [8 per cell]
Bi 0.000 0.328 0.000 [4 per cell]
Bi 0.185 0.000 0.500 [4 per cell]

no.,spin magnetization (Bohr magnetons per cell)
1,11.86
2,6.50
3,4.01